[1]
The following is a DFT calculation (PBEsol) of a relaxed structure of Y2InRu.

Lattice parameters (Å, degrees): 4.5528 3.6973 10.9341 90.00 90.00 90.00
Closest atoms and distances in Å follow each position.
Space group Amm2 (No. 38)
One atom of each set of equivalent atoms:
Y 0.0000 0.0000 0.0000 (multiplicity 2)  3 Ru 2.96-3.12, 4 In 3.07
Y 0.5000 0.0000 0.2980 (multiplicity 2)  3 In 3.00-3.10, 4 Ru 3.03
In 0.5000 0.0000 0.5818 (multiplicity 2)  2 Ru 2.79, 7 Y 3.00-3.10
Ru 0.0000 0.0000 0.7297 (multiplicity 2)  2 In 2.79, 7 Y 2.96-3.12

Computed properties:
Formation energy from the elements in eV/atom: -0.29
N(E_F) in states/eV per cell: 5.80

[2]
The following is a DFT calculation (PBEsol) of a relaxed structure of ZnInRu2.

Lattice parameters (Å, degrees): 3.0062 4.5996 8.6114 90.00 90.00 90.00
Closest atoms and distances in Å follow each position.
Space group Immm (No. 71)
One atom of each set of equivalent atoms:
Zn 0.0000 0.0000 0.0000 (multiplicity 2)  4 Ru 2.52, 4 In 2.75
In 0.0000 0.0000 0.5000 (multiplicity 2)  4 Ru 2.73, 4 Zn 2.75, 2 In 3.01
Ru 0.0000 0.5000 0.2651 (multiplicity 4)  2 Zn 2.52, 2 In 2.73, 4 Ru 2.76

Computed properties:
Formation energy from the elements in eV/atom: 0.25
N(E_F) in states/eV per cell: 8.94

[3]
The following is a DFT calculation (PBEsol) of a relaxed structure of ZnInRu2.

Lattice parameters (Å, degrees): 2.8171 2.8171 7.8166 90.00 90.00 90.00
Closest atoms and distances in Å follow each position.
Space group P4mm (No. 99)
One atom of each set of equivalent atoms:
Zn 0.0000 0.0000 0.0000 (multiplicity 1)  4 Ru 2.66, 4 Zn 2.82
In 0.5000 0.5000 0.3056 (multiplicity 1)  4 In 2.82, 4 Ru 2.86, 4 Zn 3.11
Ru 0.0000 0.0000 0.5687 (multiplicity 1)  8 Ru 2.56-2.82, 4 In 2.86
Ru 0.5000 0.5000 0.7739 (multiplicity 1)  8 Ru 2.56-2.82, 4 Zn 2.66

Computed properties:
Formation energy from the elements in eV/atom: 0.09
N(E_F) in states/eV per cell: 2.65

[4]
The following is a DFT calculation (PBEsol) of a relaxed structure of ZrIn2Ru.

Lattice parameters (Å, degrees): 4.3441 4.3441 7.8696 90.00 90.00 90.00
Closest atoms and distances in Å follow each position.
Space group I-4m2 (No. 119)
One atom of each set of equivalent atoms:
Zr 0.0000 0.0000 0.0000 (multiplicity 2)  8 In 2.93-3.07, 4 Ru 2.93
In 0.0000 0.0000 0.5000 (multiplicity 2)  4 In 2.93, 4 Ru 2.93, 4 Zr 3.07
In 0.0000 0.5000 0.7500 (multiplicity 2)  4 Zr 2.93, 4 In 2.93, 4 Ru 3.07
Ru 0.0000 0.5000 0.2500 (multiplicity 2)  4 Zr 2.93, 8 In 2.93-3.07

Computed properties:
Formation energy from the elements in eV/atom: -0.13
N(E_F) in states/eV per cell: 2.81

[5]
The following is a DFT calculation (PBEsol) of a relaxed structure of InS.

Lattice parameters (Å, degrees): 4.3194 10.6902 3.9447 90.00 90.00 90.00
Closest atoms and distances in Å follow each position.
Space group Pnnm (No. 58)
One atom of each set of equivalent atoms:
In 0.1179 0.1202 0.0000 (multiplicity 4)  3 S 2.51-2.58, 1 In 2.76
S 0.0052 0.6499 0.0000 (multiplicity 4)  3 In 2.51-2.58

Computed properties:
Total DFT energy (no corrections) in eV/atom: -4.210

[6]
The following is a DFT calculation (PBEsol) of a relaxed structure of In5S8.

Lattice parameters (Å, degrees): 10.6370 10.6370 10.6370 90.00 90.00 90.00
Closest atoms and distances in Å follow each position.
Space group F-43m (No. 216)
One atom of each set of equivalent atoms:
In 0.0000 0.0000 0.0000 (multiplicity 4)  4 S 2.48
In 0.1168 0.1168 0.3832 (multiplicity 16)  6 S 2.57-2.66
S 0.1245 0.1245 0.6245 (multiplicity 16)  3 In 2.57
S 0.1345 0.1345 0.1345 (multiplicity 16)  4 In 2.48-2.66

Computed properties:
N(E_F) in states/eV per cell: 53.01
Total DFT energy (no corrections) in eV/atom: -4.313

[7]
The following is a DFT calculation (PBEsol) of a relaxed structure of In2S3.

Lattice parameters (Å, degrees): 6.7957 11.6992 6.7649 90.00 109.55 90.00
Closest atoms and distances in Å follow each position.
Space group Cc (No. 9)
One atom of each set of equivalent atoms:
In 0.0000 0.0837 0.0000 (multiplicity 4)  4 S 2.39-2.51
In 0.0279 0.2582 0.5042 (multiplicity 4)  4 S 2.40-2.52
S 0.1271 0.4240 0.3517 (multiplicity 4)  2 In 2.39-2.40
S 0.1403 0.2640 0.8952 (multiplicity 4)  3 In 2.50-2.51
S 0.1729 0.0815 0.3907 (multiplicity 4)  3 In 2.50-2.52

Computed properties:
Total DFT energy (no corrections) in eV/atom: -4.345

[8]
The following is a DFT calculation (PBEsol) of a relaxed structure of In2S3.

Lattice parameters (Å, degrees): 6.6533 3.7653 9.2154 90.00 104.46 90.00
Closest atoms and distances in Å follow each position.
Space group Cm (No. 8)
One atom of each set of equivalent atoms:
In 0.0000 0.0000 0.0000 (multiplicity 2)  5 S 2.49-2.69
In 0.1788 0.0000 0.5975 (multiplicity 2)  4 S 2.51-2.60
S 0.0308 0.5000 0.7980 (multiplicity 2)  3 In 2.60-2.69
S 0.3025 0.5000 0.4609 (multiplicity 2)  3 In 2.51
S 0.3732 0.0000 0.1369 (multiplicity 2)  3 In 2.49-2.53

Computed properties:
Total DFT energy (no corrections) in eV/atom: -4.379

[9]
The following is a DFT calculation (PBEsol) of a relaxed structure of In2S3.

Lattice parameters (Å, degrees): 6.5641 6.5641 17.5823 90.00 90.00 120.00
Closest atoms and distances in Å follow each position.
Space group R-3c (No. 167, hexagonal axes)
One atom of each set of equivalent atoms:
In 0.0000 0.0000 0.1445 (multiplicity 12)  6 S 2.55-2.69
S 0.0000 0.2972 0.2500 (multiplicity 18)  4 In 2.55-2.69

Computed properties:
Total DFT energy (no corrections) in eV/atom: -4.390

[10]
The following is a DFT calculation (PBEsol) of a relaxed structure of In3S4.

Lattice parameters (Å, degrees): 10.9705 10.9705 10.9705 90.00 90.00 90.00
Closest atoms and distances in Å follow each position.
Space group Fd-3m (No. 227, origin choice 2)
One atom of each set of equivalent atoms:
In 0.0000 0.0000 0.0000 (multiplicity 16)  6 S 2.65
In 0.1250 0.1250 0.6250 (multiplicity 8)  4 S 2.54
S 0.0086 0.0086 0.2414 (multiplicity 32)  4 In 2.54-2.65

Computed properties:
N(E_F) in states/eV per cell: 17.20
Total DFT energy (no corrections) in eV/atom: -4.298

[11]
The following is a DFT calculation (PBEsol) of a relaxed structure of In2S3.

Lattice parameters (Å, degrees): 7.6134 7.6134 32.4794 90.00 90.00 90.00
Closest atoms and distances in Å follow each position.
Space group I4_1/amd (No. 141, origin choice 2)
One atom of each set of equivalent atoms:
In 0.0000 0.0000 0.0000 (multiplicity 8)  6 S 2.54-2.66
In 0.0000 0.0186 0.6677 (multiplicity 16)  6 S 2.55-2.68
In 0.0000 0.2500 0.2045 (multiplicity 8)  4 S 2.47-2.48
S 0.0000 0.0069 0.7490 (multiplicity 16)  4 In 2.47-2.66
S 0.0000 0.0090 0.0781 (multiplicity 16)  3 In 2.54-2.55
S 0.0000 0.0228 0.4129 (multiplicity 16)  4 In 2.48-2.68

Computed properties:
Total DFT energy (no corrections) in eV/atom: -4.401

[12]
The following is a DFT calculation (PBEsol) of a relaxed structure of In2S3.

Lattice parameters (Å, degrees): 3.9141 11.8412 5.4597 90.00 90.00 90.00
Closest atoms and distances in Å follow each position.
Space group Imm2 (No. 44)
One atom of each set of equivalent atoms:
In 0.0000 0.1571 0.0000 (multiplicity 4)  4 S 2.39-2.51
S 0.0000 0.0000 0.7244 (multiplicity 2)  2 In 2.39
S 0.0000 0.3441 0.7878 (multiplicity 4)  3 In 2.50-2.51

Computed properties:
Total DFT energy (no corrections) in eV/atom: -4.343